(1)
The following is a DFT calculation (PBE) of crystalline ZnNO2F at its relaxed geometry.

E_tot, eV per cell: -13.943
Density, Mg/m³: 3.6
Space-group type: P4/mmm, No. 123
Total magnetization, μB per formula unit: 4.0
Calculated volume, Å³/f.u.: 60

a b c (Å): 4.2284 4.2284 3.3423
angles (deg): 90.00 90.00 90.00
Last column: nearest neighbours and their distance in Å.
Element x y z (fractional)
O 0.5000 0.0000 0.0000  2 F 2.11
O 0.0000 0.5000 0.0000  2 F 2.11
F 0.0000 0.0000 0.0000  2 N 1.67
N 0.0000 0.0000 0.5000  2 F 1.67
Zn 0.5000 0.5000 0.5000  8 O 2.69, 4 N 2.99


(2)
The following is a DFT calculation (PBE) of crystalline ZnNO2F at its relaxed geometry.

E_tot, eV per cell: -15.969
Density, Mg/m³: 3.4
Space-group type: P4/mmm, No. 123
Total magnetization, μB per formula unit: 1.4
Calculated volume, Å³/f.u.: 63

a b c (Å): 3.9880 3.9880 3.9910
angles (deg): 90.00 90.00 90.00
Last column: nearest neighbours and their distance in Å.
Element x y z (fractional)
Zn 0.0000 0.0000 0.0000  4 O 1.99, 2 N 2.00
O 0.5000 0.0000 0.0000  2 Zn 1.99
O 0.0000 0.5000 0.0000  2 Zn 1.99
N 0.0000 0.0000 0.5000  2 Zn 2.00
F 0.5000 0.5000 0.5000  4 N 2.82, 8 O 2.82